# 1
# RbAgSbI6 PBE-GGA optimized geometry
# - total magnetic moment (μB/cell) = 0.0
# - symmetry = P1 (1)
# - D(E_F) (states/eV per cell) = 6.27
# - raw formation energy (eV/atom) = -0.48
# - volume (Å³/cell) = 426.5
data_RbAgSbI6
_chemical_formula_sum 'Rb1 Ag1 Sb1 I6'
_space_group_name_H-M_alt 'P 1'
_space_group_IT_number 1
_cell_length_a 8.673
_cell_length_b 7.603
_cell_length_c 8.112
_cell_angle_alpha 88.45
_cell_angle_beta 77.16
_cell_angle_gamma 55.49
loop_
_space_group_symop_operation_xyz
'x,y,z'
loop_
_atom_site_label
_atom_site_type_symbol
_atom_site_fract_x
_atom_site_fract_y
_atom_site_fract_z
Rb1 Rb 0.103 0.846 0.028
I1 I 0.607 0.984 0.234
I2 I 0.939 0.718 0.656
I3 I 0.029 0.342 0.252
I4 I 0.634 0.411 0.781
I5 I 0.324 0.088 0.738
I6 I 0.426 0.596 0.335
Ag1 Ag 0.280 0.345 0.455
Sb1 Sb 0.658 0.669 0.522

---

# 2
# RbAgSb2I PBE-GGA optimized geometry
# - total magnetic moment (μB/cell) = 5.0
# - symmetry = P4/mmm (123)
# - energy above the lowest structure with this stoichiometry (kJ/mol of atoms) = 100.0
# - D(E_F) (states/eV per cell) = 1.78
# - raw formation energy (eV/atom) = 1.06
# - volume (Å³/cell) = 359.6
data_RbAgSb2I
_chemical_formula_sum 'Rb1 Ag1 Sb2 I1'
_space_group_name_H-M_alt 'P 1'
_space_group_IT_number 1
_cell_length_a 7.368
_cell_length_b 7.368
_cell_length_c 6.624
_cell_angle_alpha 90.00
_cell_angle_beta 90.00
_cell_angle_gamma 90.00
loop_
_space_group_symop_operation_xyz
'x,y,z'
loop_
_atom_site_label
_atom_site_type_symbol
_atom_site_fract_x
_atom_site_fract_y
_atom_site_fract_z
Ag1 Ag 0.500 0.500 0.500
Rb1 Rb 0.000 0.000 0.000
Sb1 Sb 0.500 0.000 0.000
Sb2 Sb 0.000 0.500 0.000
I1 I 0.000 0.000 0.500

---

# 3
# Rb2AgSbI6 PBE-GGA optimized geometry
# - total magnetic moment (μB/cell) = 0.0
# - symmetry = P2_1/c (14)
# - energy above the lowest structure with this stoichiometry (kJ/mol of atoms) = 0.0
# - raw formation energy (eV/atom) = -0.78
# - volume (Å³/cell) = 851.2
data_Rb2AgSbI6
_chemical_formula_sum 'Rb4 Ag2 Sb2 I12'
_space_group_name_H-M_alt 'P 1'
_space_group_IT_number 1
_cell_length_a 8.344
_cell_length_b 8.575
_cell_length_c 11.896
_cell_angle_alpha 90.00
_cell_angle_beta 89.78
_cell_angle_gamma 90.00
loop_
_space_group_symop_operation_xyz
'x,y,z'
loop_
_atom_site_label
_atom_site_type_symbol
_atom_site_fract_x
_atom_site_fract_y
_atom_site_fract_z
I1 I 0.298 0.705 0.464
I2 I 0.922 0.505 0.252
I3 I 0.796 0.795 0.540
I4 I 0.798 0.795 0.964
I5 I 0.202 0.205 0.036
I6 I 0.296 0.705 0.040
I7 I 0.578 0.005 0.248
I8 I 0.704 0.295 0.960
I9 I 0.204 0.205 0.460
I10 I 0.078 0.495 0.748
I11 I 0.702 0.295 0.536
I12 I 0.422 0.995 0.752
Rb1 Rb 0.479 0.431 0.248
Rb2 Rb 0.521 0.569 0.752
Rb3 Rb 0.021 0.931 0.252
Rb4 Rb 0.979 0.069 0.748
Sb1 Sb 0.500 0.000 0.500
Sb2 Sb 0.000 0.500 0.000
Ag1 Ag 0.000 0.500 0.500
Ag2 Ag 0.500 0.000 0.000

---

# 4
# Rb2AgSbI6 PBE-GGA optimized geometry
# - total magnetic moment (μB/cell) = 0.0
# - symmetry = Fm-3m (225)
# - energy above the lowest structure with this stoichiometry (kJ/mol of atoms) = 2.0
# - raw formation energy (eV/atom) = -0.76
# - volume (Å³/cell) = 439.4
data_Rb2AgSbI6
_chemical_formula_sum 'Rb2 Ag1 Sb1 I6'
_space_group_name_H-M_alt 'P 1'
_space_group_IT_number 1
_cell_length_a 8.533
_cell_length_b 8.533
_cell_length_c 8.533
_cell_angle_alpha 60.00
_cell_angle_beta 60.00
_cell_angle_gamma 60.00
loop_
_space_group_symop_operation_xyz
'x,y,z'
loop_
_atom_site_label
_atom_site_type_symbol
_atom_site_fract_x
_atom_site_fract_y
_atom_site_fract_z
Sb1 Sb 0.000 0.000 0.000
Ag1 Ag 0.500 0.500 0.500
I1 I 0.251 0.251 0.749
I2 I 0.251 0.749 0.251
I3 I 0.749 0.251 0.251
I4 I 0.251 0.749 0.749
I5 I 0.749 0.749 0.251
I6 I 0.749 0.251 0.749
Rb1 Rb 0.750 0.750 0.750
Rb2 Rb 0.250 0.250 0.250

---

# 5
# RbScAgI2 PBE-GGA optimized geometry
# - total magnetic moment (μB/cell) = 1.4
# - symmetry = P4/mmm (123)
# - D(E_F) (states/eV per cell) = 9.63
# - raw formation energy (eV/atom) = -0.09
# - volume (Å³/cell) = 203.6
data_RbScAgI2
_chemical_formula_sum 'Rb1 Sc1 Ag1 I2'
_space_group_name_H-M_alt 'P 1'
_space_group_IT_number 1
_cell_length_a 6.160
_cell_length_b 5.365
_cell_length_c 6.160
_cell_angle_alpha 90.00
_cell_angle_beta 90.00
_cell_angle_gamma 90.00
loop_
_space_group_symop_operation_xyz
'x,y,z'
loop_
_atom_site_label
_atom_site_type_symbol
_atom_site_fract_x
_atom_site_fract_y
_atom_site_fract_z
I1 I 0.000 0.000 0.500
I2 I 0.500 0.000 0.000
Ag1 Ag 0.000 0.000 0.000
Sc1 Sc 0.000 0.500 0.000
Rb1 Rb 0.500 0.500 0.500

---

# 6
# RbScAgI5 PBE-GGA optimized geometry
# - total magnetic moment (μB/cell) = 0.0
# - symmetry = C2/c (15)
# - D(E_F) (states/eV per cell) = 0.00
# - raw formation energy (eV/atom) = -1.03
# - volume (Å³/cell) = 690.9
data_RbScAgI5
_chemical_formula_sum 'Rb2 Sc2 Ag2 I10'
_space_group_name_H-M_alt 'P 1'
_space_group_IT_number 1
_cell_length_a 8.361
_cell_length_b 8.361
_cell_length_c 11.113
_cell_angle_alpha 102.08
_cell_angle_beta 102.08
_cell_angle_gamma 107.90
loop_
_space_group_symop_operation_xyz
'x,y,z'
loop_
_atom_site_label
_atom_site_type_symbol
_atom_site_fract_x
_atom_site_fract_y
_atom_site_fract_z
I1 I 0.232 0.364 0.554
I2 I 0.070 0.930 0.250
I3 I 0.768 0.636 0.446
I4 I 0.364 0.232 0.054
I5 I 0.303 0.913 0.593
I6 I 0.636 0.768 0.946
I7 I 0.087 0.697 0.907
I8 I 0.930 0.070 0.750
I9 I 0.697 0.087 0.407
I10 I 0.913 0.303 0.093
Rb1 Rb 0.352 0.648 0.250
Rb2 Rb 0.648 0.352 0.750
Sc1 Sc 0.000 0.000 0.500
Sc2 Sc 0.000 0.000 0.000
Ag1 Ag 0.313 0.687 0.750
Ag2 Ag 0.687 0.313 0.250

---

# 7
# RbScAg2I6 PBE-GGA optimized geometry
# - total magnetic moment (μB/cell) = 0.0
# - symmetry = C2/c (15)
# - D(E_F) (states/eV per cell) = 0.00
# - raw formation energy (eV/atom) = -0.84
# - volume (Å³/cell) = 946.4
data_RbScAg2I6
_chemical_formula_sum 'Rb2 Sc2 Ag4 I12'
_space_group_name_H-M_alt 'P 1'
_space_group_IT_number 1
_cell_length_a 8.958
_cell_length_b 10.740
_cell_length_c 10.740
_cell_angle_alpha 82.67
_cell_angle_beta 73.26
_cell_angle_gamma 73.26
loop_
_space_group_symop_operation_xyz
'x,y,z'
loop_
_atom_site_label
_atom_site_type_symbol
_atom_site_fract_x
_atom_site_fract_y
_atom_site_fract_z
I1 I 0.330 0.184 0.049
I2 I 0.980 0.282 0.452
I3 I 0.509 0.159 0.609
I4 I 0.491 0.841 0.391
I5 I 0.020 0.718 0.548
I6 I 0.520 0.548 0.718
I7 I 0.670 0.816 0.951
I8 I 0.009 0.609 0.159
I9 I 0.480 0.452 0.282
I10 I 0.170 0.951 0.816
I11 I 0.991 0.391 0.841
I12 I 0.830 0.049 0.184
Sc1 Sc 0.750 0.824 0.176
Sc2 Sc 0.250 0.176 0.824
Rb1 Rb 0.750 0.165 0.835
Rb2 Rb 0.250 0.835 0.165
Ag1 Ag 0.643 0.391 0.485
Ag2 Ag 0.357 0.609 0.515
Ag3 Ag 0.143 0.485 0.391
Ag4 Ag 0.857 0.515 0.609

---

# 8
# Rb2AgSeI6 PBE-GGA optimized geometry
# - total magnetic moment (μB/cell) = 0.0
# - symmetry = I4/mmm (139)
# - energy above the lowest structure with this stoichiometry (kJ/mol of atoms) = 0.0
# - D(E_F) (states/eV per cell) = 3.25
# - raw formation energy (eV/atom) = -0.61
# - volume (Å³/cell) = 407.4
data_Rb2AgSeI6
_chemical_formula_sum 'Rb2 Ag1 Se1 I6'
_space_group_name_H-M_alt 'P 1'
_space_group_IT_number 1
_cell_length_a 8.305
_cell_length_b 8.305
_cell_length_c 8.329
_cell_angle_alpha 60.09
_cell_angle_beta 60.09
_cell_angle_gamma 90.00
loop_
_space_group_symop_operation_xyz
'x,y,z'
loop_
_atom_site_label
_atom_site_type_symbol
_atom_site_fract_x
_atom_site_fract_y
_atom_site_fract_z
I1 I 0.751 0.751 0.000
I2 I 0.751 0.249 0.000
I3 I 0.747 0.747 0.507
I4 I 0.253 0.253 0.493
I5 I 0.249 0.751 0.000
I6 I 0.249 0.249 0.000
Se1 Se 0.500 0.500 0.000
Rb1 Rb 0.750 0.250 0.500
Rb2 Rb 0.250 0.750 0.500
Ag1 Ag 0.000 0.000 0.000

---

# 9
# Rb2AgSeI PBE-GGA optimized geometry
# - total magnetic moment (μB/cell) = 0.0
# - symmetry = P4/mmm (123)
# - raw formation energy (eV/atom) = -0.90
# - volume (Å³/cell) = 222.1
data_Rb2AgSeI
_chemical_formula_sum 'Rb2 Ag1 Se1 I1'
_space_group_name_H-M_alt 'P 1'
_space_group_IT_number 1
_cell_length_a 6.718
_cell_length_b 6.718
_cell_length_c 4.922
_cell_angle_alpha 90.00
_cell_angle_beta 90.00
_cell_angle_gamma 90.00
loop_
_space_group_symop_operation_xyz
'x,y,z'
loop_
_atom_site_label
_atom_site_type_symbol
_atom_site_fract_x
_atom_site_fract_y
_atom_site_fract_z
Rb1 Rb 0.000 0.500 0.000
Rb2 Rb 0.500 0.000 0.000
Ag1 Ag 0.000 0.000 0.500
I1 I 0.500 0.500 0.500
Se1 Se 0.000 0.000 0.000

---

# 10
# Rb2AgSeI6 PBE-GGA optimized geometry
# - total magnetic moment (μB/cell) = 0.0
# - symmetry = R-3m (166)
# - energy above the lowest structure with this stoichiometry (kJ/mol of atoms) = 3.3
# - D(E_F) (states/eV per cell) = 8.33
# - raw formation energy (eV/atom) = -0.57
# - volume (Å³/cell) = 827.0
data_Rb2AgSeI6
_chemical_formula_sum 'Rb4 Ag2 Se2 I12'
_space_group_name_H-M_alt 'P 1'
_space_group_IT_number 1
_cell_length_a 8.181
_cell_length_b 8.181
_cell_length_c 15.030
_cell_angle_alpha 74.21
_cell_angle_beta 74.21
_cell_angle_gamma 60.00
loop_
_space_group_symop_operation_xyz
'x,y,z'
loop_
_atom_site_label
_atom_site_type_symbol
_atom_site_fract_x
_atom_site_fract_y
_atom_site_fract_z
I1 I 0.631 0.631 0.617
I2 I 0.702 0.210 0.878
I3 I 0.121 0.631 0.617
I4 I 0.790 0.298 0.122
I5 I 0.369 0.369 0.383
I6 I 0.298 0.790 0.122
I7 I 0.879 0.369 0.383
I8 I 0.631 0.121 0.617
I9 I 0.210 0.210 0.878
I10 I 0.369 0.879 0.383
I11 I 0.210 0.702 0.878
I12 I 0.790 0.790 0.122
Se1 Se 0.000 0.000 0.000
Se2 Se 0.500 0.500 0.500
Ag1 Ag 0.416 0.416 0.751
Ag2 Ag 0.584 0.584 0.249
Rb1 Rb 0.302 0.302 0.095
Rb2 Rb 0.117 0.117 0.650
Rb3 Rb 0.883 0.883 0.350
Rb4 Rb 0.698 0.698 0.905

---

# 11
# RbSi2AgI PBE-GGA optimized geometry
# - total magnetic moment (μB/cell) = 0.9
# - symmetry = P4/mmm (123)
# - D(E_F) (states/eV per cell) = 4.55
# - raw formation energy (eV/atom) = 1.02
# - volume (Å³/cell) = 175.8
data_RbSi2AgI
_chemical_formula_sum 'Rb1 Si2 Ag1 I1'
_space_group_name_H-M_alt 'P 1'
_space_group_IT_number 1
_cell_length_a 5.596
_cell_length_b 5.616
_cell_length_c 5.596
_cell_angle_alpha 90.00
_cell_angle_beta 90.00
_cell_angle_gamma 90.00
loop_
_space_group_symop_operation_xyz
'x,y,z'
loop_
_atom_site_label
_atom_site_type_symbol
_atom_site_fract_x
_atom_site_fract_y
_atom_site_fract_z
I1 I 0.000 0.000 0.000
Rb1 Rb 0.500 0.500 0.500
Ag1 Ag 0.000 0.500 0.000
Si1 Si 0.500 0.000 0.000
Si2 Si 0.000 0.000 0.500

---

# 12
# Rb2SiAgI PBE-GGA optimized geometry
# - total magnetic moment (μB/cell) = 2.7
# - symmetry = P4/mmm (123)
# - D(E_F) (states/eV per cell) = 1.41
# - raw formation energy (eV/atom) = 0.27
# - volume (Å³/cell) = 273.1
data_Rb2SiAgI
_chemical_formula_sum 'Rb2 Si1 Ag1 I1'
_space_group_name_H-M_alt 'P 1'
_space_group_IT_number 1
_cell_length_a 6.968
_cell_length_b 5.624
_cell_length_c 6.968
_cell_angle_alpha 90.00
_cell_angle_beta 90.00
_cell_angle_gamma 90.00
loop_
_space_group_symop_operation_xyz
'x,y,z'
loop_
_atom_site_label
_atom_site_type_symbol
_atom_site_fract_x
_atom_site_fract_y
_atom_site_fract_z
Ag1 Ag 0.000 0.500 0.000
Rb1 Rb 0.000 0.000 0.500
Rb2 Rb 0.500 0.000 0.000
I1 I 0.000 0.000 0.000
Si1 Si 0.500 0.500 0.500